This record from the Alexandria database describes crystalline Cu4I3Cl at its relaxed geometry. The functional is PBE.

Output
Its energy above the lowest structure with this stoichiometry is 0.218 eV/atom. The value obtained for the energy is -2.827 eV per atom. The energy relative to the elements, uncorrected is 0.27 eV per formula unit.

a = 3.965 Å, b = 5.593 Å, c = 7.920 Å
α = 90.00°, β = 90.00°, γ = 90.00°
Fractional positions:
Cu (0.000, 0.000, 0.500)
Cu (0.500, 0.500, 0.766)
Cu (0.000, 0.000, 0.000)
Cu (0.500, 0.500, 0.234)
I (0.500, 0.000, 0.240)
I (0.000, 0.500, 0.500)
I (0.500, 0.000, 0.760)
Cl (0.000, 0.500, 0.000)